7
Lattice="1.8995 1.0967 9.2823 -1.8995 1.0967 9.2823 0.0000 -2.1934 9.2823" Properties=species:S:1:pos:R:3 comment="PBE Ti4P2Pd, optimized geometry" rho_g_cm3=5.150 magmom_total_mub_per_fu=0.00 total_energy_ev_per_atom=-7.48 dos_ef_per_ev_cell=6.01 pbc="T T T"
Ti 0.0000 0.0000 3.0511
Ti 0.0000 0.0000 8.3843
Ti 0.0000 0.0000 19.4627
Ti 0.0000 0.0000 24.7960
P 0.0000 0.0000 11.1752
P 0.0000 0.0000 16.6718
Pd 0.0000 0.0000 13.9235

---

18
Lattice="6.4514 0.0000 0.0000 0.0000 3.6741 0.0000 -0.0678 0.0000 11.0397" Properties=species:S:1:pos:R:3 comment="PBE TiPPd, optimized geometry" rho_g_cm3=7.054 magmom_total_mub_per_fu=0.00 total_energy_ev_per_atom=-7.07 dos_ef_per_ev_cell=11.67 pbc="T T T"
Ti 0.2006 0.9185 1.2064
Ti 1.0020 0.9185 4.6379
Ti 2.7997 2.7556 8.6941
Ti 3.5839 0.9185 2.3455
Ti 5.3816 2.7556 6.4018
Ti 6.1830 2.7556 9.8333
P 1.4846 2.7556 6.4075
P 1.5279 0.9185 10.0296
P 1.5998 2.7556 2.7607
P 4.7838 0.9185 8.2790
P 4.8557 2.7556 1.0101
P 4.8990 0.9185 4.6321
Pd 0.6186 0.9185 7.7737
Pd 2.2639 2.7556 0.4907
Pd 3.1815 0.9185 6.5364
Pd 3.2021 2.7556 4.5033
Pd 4.1197 0.9185 10.5490
Pd 5.7649 2.7556 3.2660